[1]
First-principles (PBE) data for a relaxed Nb2PdAu crystal, as listed in Alexandria.

Unit cell a=7.4434 b=7.4434 c=5.3784 alpha=90.00 beta=90.00 gamma=90.00
Space group I-42d (No. 122)
Asymmetric unit:
Nb (0.2307, 0.2500, 0.1250)
Pd (0.0000, 0.0000, 0.0000)
Au (0.0000, 0.0000, 0.5000)

Values from the calculation:
Spin magnetization = 0.00 μB per formula unit
Electronic total energy = -6.915 eV per atom
ΔH_f (0 K) = 238 meV per atom

=====

[2]
First-principles (PBE) data for a relaxed SrYSc2 crystal, as listed in Alexandria.

Unit cell a=3.8195 b=3.8195 c=8.9973 alpha=90.00 beta=90.00 gamma=90.00
Space group P4mm (No. 99)
Asymmetric unit:
Sr (0.0000, 0.0000, 0.0000)
Y (0.5000, 0.5000, 0.3264)
Sc (0.0000, 0.0000, 0.5378)
Sc (0.5000, 0.5000, 0.7104)

Values from the calculation:
Excess energy over the best structure of this formula in the dataset = 0 meV per atom
Spin magnetization = 0.00 μB per formula unit
Electronic total energy = -5.052 eV per atom
ΔH_f (0 K) = 150 meV per atom

=====

[3]
First-principles (PBE) data for a relaxed BaIn2Ni crystal, as listed in Alexandria.

Unit cell a=4.5185 b=4.5185 c=19.3029 alpha=90.00 beta=90.00 gamma=120.00
Space group R-3m (No. 166, hexagonal axes)
Asymmetric unit:
Ba (0.0000, 0.0000, 0.0000)
In (0.0000, 0.0000, 0.2058)
Ni (0.0000, 0.0000, 0.5000)

Values from the calculation:
Spin magnetization = 0.00 μB per formula unit
Electronic total energy = -3.514 eV per atom
ΔH_f (0 K) = -219 meV per atom

=====

[4]
First-principles (PBE) data for a relaxed CaTm4MgS8 crystal, as listed in Alexandria.

Unit cell a=7.9934 b=7.9934 c=19.2704 alpha=90.00 beta=90.00 gamma=120.00
Space group R3m (No. 160, hexagonal axes)
Asymmetric unit:
Ca (0.0000, 0.0000, 0.0000)
Tm (0.0000, 0.0000, 0.2423)
Tm (0.1700, 0.3400, 0.4532)
Mg (0.0000, 0.0000, 0.6248)
S (0.0000, 0.0000, 0.3775)
S (0.0000, 0.0000, 0.8609)
S (0.0348, 0.5174, 0.3734)
S (0.1791, 0.3582, 0.2026)

Values from the calculation:
Formation energy from raw total energies = -1.921 eV/atom
Spin magnetization = 0.00 μB per formula unit
Electronic total energy = -5.814 eV per atom

=====

[5]
First-principles (PBE) data for a relaxed Pr7Sn2Te2 crystal, as listed in Alexandria.

Unit cell a=9.0056 b=11.5604 c=7.3255 alpha=90.00 beta=90.00 gamma=90.00
Space group Cmmm (No. 65)
Asymmetric unit:
Pr (0.0000, 0.0000, 0.0000)
Pr (0.0000, 0.5000, 0.2602)
Pr (0.2500, 0.2500, 0.2805)
Sn (0.1760, 0.0000, 0.5000)
Te (0.0000, 0.2763, 0.0000)

Values from the calculation:
Formation energy from raw total energies = -0.557 eV/atom
Spin magnetization = 0.00 μB per formula unit
Electronic total energy = -4.897 eV per atom